Entry 1:
KSr2NdI8: optimized geometry, PBE.

The value obtained for the uncorrected formation energy is -1538 meV per atom. As for the density of states at the Fermi level: 0.0 states/eV per cell.

Cell lengths 7.4277, 10.0151, 7.8932 Å; angles 90.00, 90.14, 90.00 degrees
With the nearest neighbours (Å) after each atom.
Positions (direct):
1 K 0.0000 0.0000 0.0000  6 I 3.46-3.53
2 Sr 0.5000 0.2499 0.5000  6 I 3.26-3.39
3 Sr 0.5000 0.7501 0.5000  6 I 3.26-3.39
4 Nd 0.0000 0.5000 0.0000  6 I 3.12-3.21
5 I 0.2420 0.2775 0.1565  1 Nd 3.12, 1 Sr 3.33
6 I 0.2420 0.7225 0.1565  1 Nd 3.12, 1 Sr 3.33
7 I 0.2491 0.5000 0.6679  1 Nd 3.21, 2 Sr 3.39
8 I 0.2575 0.0000 0.6349  2 Sr 3.26, 1 K 3.46
9 I 0.7425 0.0000 0.3651  2 Sr 3.26, 1 K 3.46
10 I 0.7509 0.5000 0.3321  1 Nd 3.21, 2 Sr 3.39
11 I 0.7580 0.2775 0.8435  1 Nd 3.12, 1 Sr 3.33
12 I 0.7580 0.7225 0.8435  1 Nd 3.12, 1 Sr 3.33

Entry 2:
KNdTeI: optimized geometry, PBE.

The value obtained for the uncorrected formation energy is -1228 meV per atom. As for the density of states at the Fermi level: 8.2 states/eV per cell.

Cell lengths 4.4929, 4.4929, 26.0871 Å; angles 90.00, 90.00, 120.00 degrees
With the nearest neighbours (Å) after each atom.
Positions (direct):
1 K 0.0000 0.0000 0.0000  3 Te 3.39, 3 I 3.70
2 K 0.3333 0.6667 0.6667  3 Te 3.39, 3 I 3.70
3 K 0.6667 0.3333 0.3333  3 Te 3.39, 3 I 3.70
4 Nd 0.0000 0.0000 0.1813  3 Te 3.15, 3 I 3.33
5 Nd 0.3333 0.6667 0.8479  3 Te 3.15, 3 I 3.33
6 Nd 0.6667 0.3333 0.5146  3 Te 3.15, 3 I 3.33
7 Te 0.0000 0.0000 0.5829  3 Nd 3.15, 3 K 3.39
8 Te 0.3333 0.6667 0.2496  3 Nd 3.15, 3 K 3.39
9 Te 0.6667 0.3333 0.9162  3 Nd 3.15, 3 K 3.39
10 I 0.0000 0.0000 0.7678  3 Nd 3.33, 3 K 3.70
11 I 0.3333 0.6667 0.4345  3 Nd 3.33, 3 K 3.70
12 I 0.6667 0.3333 0.1011  3 Nd 3.33, 3 K 3.70

uncorrected formation energy of number 1 (KSr2NdI8)?
-1538 meV per atom